DFT (PBE) results for a relaxed structure of In2Sb2O.

The magnetic moment comes out at 0.00 μB per formula unit. For the density, the calculation gives 6.96 g/cm3. For the uncorrected formation energy, the calculation gives -0.299 eV per atom.

CIF file:
```
data_In2Sb2O
_chemical_formula_sum 'In4 Sb4 O2'
_cell_length_a 6.211
_cell_length_b 6.211
_cell_length_c 6.054
_cell_angle_alpha 90.00
_cell_angle_beta 90.00
_cell_angle_gamma 90.00
_symmetry_space_group_name_H-M 'P 4/m b m'
_symmetry_Int_Tables_number 127
_symmetry_space_group_name_Hall '-P 4 2ab'
loop_
_atom_site_label
_atom_site_type_symbol
_atom_site_fract_x
_atom_site_fract_y
_atom_site_fract_z
In1 In 0.169 0.331 0.000
Sb1 Sb 0.233 0.267 0.500
O1 O 0.000 0.000 0.000
```

***

DFT (PBE) results for a relaxed structure of InSb2O.

The magnetic moment comes out at 0.00 μB per formula unit. For the density, the calculation gives 7.43 g/cm3. As for the energy above the most stable polymorph in this dataset: 0.415 eV per atom. For the uncorrected formation energy, the calculation gives 0.230 eV per atom.

CIF file:
```
data_InSb2O
_chemical_formula_sum 'In4 Sb8 O4'
_cell_length_a 6.943
_cell_length_b 6.943
_cell_length_c 6.943
_cell_angle_alpha 90.00
_cell_angle_beta 90.00
_cell_angle_gamma 90.00
_symmetry_space_group_name_H-M 'F m -3 m'
_symmetry_Int_Tables_number 225
_symmetry_space_group_name_Hall '-F 4 2 3'
loop_
_atom_site_label
_atom_site_type_symbol
_atom_site_fract_x
_atom_site_fract_y
_atom_site_fract_z
In1 In 0.000 0.000 0.000
Sb1 Sb 0.250 0.250 0.250
O1 O 0.000 0.000 0.500
```

***

DFT (PBE) results for a relaxed structure of In2SbO.

The magnetic moment comes out at 0.00 μB per formula unit. For the density, the calculation gives 5.99 g/cm3. As for the energy above the most stable polymorph in this dataset: 0.000 eV per atom. For the uncorrected formation energy, the calculation gives -0.449 eV per atom.

CIF file:
```
data_In2SbO
_chemical_formula_sum 'In8 Sb4 O4'
_cell_length_a 5.754
_cell_length_b 5.754
_cell_length_c 12.307
_cell_angle_alpha 90.00
_cell_angle_beta 90.00
_cell_angle_gamma 90.00
_symmetry_space_group_name_H-M 'I -4 2 d'
_symmetry_Int_Tables_number 122
_symmetry_space_group_name_Hall 'I -4 2bw'
loop_
_atom_site_label
_atom_site_type_symbol
_atom_site_fract_x
_atom_site_fract_y
_atom_site_fract_z
In1 In 0.159 0.250 0.125
Sb1 Sb 0.000 0.000 0.500
O1 O 0.000 0.000 0.000
```

***

DFT (PBE) results for a relaxed structure of In3Sb5O12.

The magnetic moment comes out at 0.00 μB per formula unit. For the density, the calculation gives 5.39 g/cm3. As for the energy above the most stable polymorph in this dataset: 0.408 eV per atom. For the uncorrected formation energy, the calculation gives -1.002 eV per atom.

CIF file:
```
data_In3Sb5O12
_chemical_formula_sum 'In24 Sb40 O96'
_cell_length_a 14.135
_cell_length_b 14.135
_cell_length_c 14.135
_cell_angle_alpha 90.00
_cell_angle_beta 90.00
_cell_angle_gamma 90.00
_symmetry_space_group_name_H-M 'I a -3 d'
_symmetry_Int_Tables_number 230
_symmetry_space_group_name_Hall '-I 4bd 2c 3'
loop_
_atom_site_label
_atom_site_type_symbol
_atom_site_fract_x
_atom_site_fract_y
_atom_site_fract_z
In1 In 0.000 0.250 0.125
Sb1 Sb 0.000 0.000 0.000
Sb2 Sb 0.000 0.250 0.375
O1 O 0.040 0.042 0.651
```